1.
VASP calculation (PBE) on an optimized crystal structure of Na3Sb5Cl12.

Properties
Formation energy without anion corrections   -696 meV/atom

CIF file:
```
data_Na3Sb5Cl12
_cell_length_a 17.837
_cell_length_b 17.837
_cell_length_c 17.837
_cell_angle_alpha 90.00
_cell_angle_beta 90.00
_cell_angle_gamma 90.00
_space_group_name_H-M_alt 'I a -3 d'
_space_group_IT_number 230
_space_group_name_Hall '-I 4bd 2c 3'
loop_
_atom_site_label
_atom_site_fract_x
_atom_site_fract_y
_atom_site_fract_z
Na1 0.000 0.250 0.125
Sb1 0.000 0.000 0.000
Sb2 0.000 0.250 0.375
Cl1 0.006 0.150 0.511
```


2.
VASP calculation (PBE) on an optimized crystal structure of Na12Sb3Cl5.

Properties
Formation energy without anion corrections   -983 meV/atom

CIF file:
```
data_Na12Sb3Cl5
_cell_length_a 17.147
_cell_length_b 17.147
_cell_length_c 17.147
_cell_angle_alpha 90.00
_cell_angle_beta 90.00
_cell_angle_gamma 90.00
_space_group_name_H-M_alt 'I a -3 d'
_space_group_IT_number 230
_space_group_name_Hall '-I 4bd 2c 3'
loop_
_atom_site_label
_atom_site_fract_x
_atom_site_fract_y
_atom_site_fract_z
Na1 0.021 0.066 0.653
Sb1 0.000 0.250 0.125
Cl1 0.000 0.000 0.000
Cl2 0.000 0.250 0.375
```


3.
VASP calculation (PBE) on an optimized crystal structure of NaSbCl.

Properties
Formation energy without anion corrections   -1048 meV/atom

CIF file:
```
data_NaSbCl
_cell_length_a 3.827
_cell_length_b 3.829
_cell_length_c 11.894
_cell_angle_alpha 90.00
_cell_angle_beta 90.49
_cell_angle_gamma 90.00
_space_group_name_H-M_alt 'P 1 21/m 1'
_space_group_IT_number 11
_space_group_name_Hall '-P 2yb'
loop_
_atom_site_label
_atom_site_fract_x
_atom_site_fract_y
_atom_site_fract_z
Na1 0.247 0.250 0.386
Sb1 0.251 0.250 0.061
Cl1 0.254 0.250 0.628
```


4.
VASP calculation (PBE) on an optimized crystal structure of Na2Sb2Cl7.

Properties
Offset from the most stable computed form   4.6 meV/atom
Formation energy without anion corrections   -1053 meV/atom

CIF file:
```
data_Na2Sb2Cl7
_cell_length_a 7.010
_cell_length_b 7.328
_cell_length_c 7.769
_cell_angle_alpha 70.81
_cell_angle_beta 64.53
_cell_angle_gamma 79.35
_space_group_name_H-M_alt 'P -1'
_space_group_IT_number 2
_space_group_name_Hall '-P 1'
loop_
_atom_site_label
_atom_site_fract_x
_atom_site_fract_y
_atom_site_fract_z
Na1 0.141 0.279 0.308
Sb1 0.419 0.740 0.262
Cl1 0.233 0.437 0.565
Cl2 0.236 0.011 0.059
Cl3 0.262 0.917 0.521
Cl4 0.500 0.500 0.000
```


5.
VASP calculation (PBE) on an optimized crystal structure of Na2SbCl5.

Properties
Offset from the most stable computed form   31.7 meV/atom
Formation energy without anion corrections   -1286 meV/atom

CIF file:
```
data_Na2SbCl5
_cell_length_a 10.900
_cell_length_b 7.783
_cell_length_c 7.349
_cell_angle_alpha 90.00
_cell_angle_beta 104.33
_cell_angle_gamma 90.00
_space_group_name_H-M_alt 'C 1 m 1'
_space_group_IT_number 8
_space_group_name_Hall 'C -2y'
loop_
_atom_site_label
_atom_site_fract_x
_atom_site_fract_y
_atom_site_fract_z
Na1 0.000 0.000 0.000
Na2 0.089 0.500 0.544
Sb1 0.007 0.500 0.992
Cl1 0.082 0.264 0.254
Cl2 0.221 0.500 0.940
Cl3 0.460 0.239 0.731
```


6.
VASP calculation (PBE) on an optimized crystal structure of Na3SbCl6.

Properties
Offset from the most stable computed form   144.2 meV/atom
Formation energy without anion corrections   -1273 meV/atom

CIF file:
```
data_Na3SbCl6
_cell_length_a 10.682
_cell_length_b 10.682
_cell_length_c 10.682
_cell_angle_alpha 90.00
_cell_angle_beta 90.00
_cell_angle_gamma 90.00
_space_group_name_H-M_alt 'F m -3 m'
_space_group_IT_number 225
_space_group_name_Hall '-F 4 2 3'
loop_
_atom_site_label
_atom_site_fract_x
_atom_site_fract_y
_atom_site_fract_z
Na1 0.000 0.000 0.000
Na2 0.250 0.250 0.250
Sb1 0.000 0.000 0.500
Cl1 0.000 0.000 0.253
```


7.
VASP calculation (PBE) on an optimized crystal structure of Na2SnSbCl8.

Properties
Formation energy without anion corrections   -1147 meV/atom

CIF file:
```
data_Na2SnSbCl8
_cell_length_a 6.428
_cell_length_b 8.264
_cell_length_c 6.624
_cell_angle_alpha 90.00
_cell_angle_beta 95.08
_cell_angle_gamma 90.00
_space_group_name_H-M_alt 'P 1 2/m 1'
_space_group_IT_number 10
_space_group_name_Hall '-P 2y'
loop_
_atom_site_label
_atom_site_fract_x
_atom_site_fract_y
_atom_site_fract_z
Na1 0.000 0.248 0.000
Sn1 0.500 0.500 0.500
Sb1 0.500 0.000 0.500
Cl1 0.224 0.500 0.190
Cl2 0.230 0.000 0.180
Cl3 0.293 0.251 0.662
```


8.
VASP calculation (PBE) on an optimized crystal structure of NaSbTe2Cl.

Properties
Offset from the most stable computed form   0.0 meV/atom
Formation energy without anion corrections   311 meV/atom

CIF file:
```
data_NaSbTe2Cl
_cell_length_a 5.726
_cell_length_b 5.726
_cell_length_c 5.206
_cell_angle_alpha 90.00
_cell_angle_beta 90.00
_cell_angle_gamma 90.00
_space_group_name_H-M_alt 'P 4/m m m'
_space_group_IT_number 123
_space_group_name_Hall '-P 4 2'
loop_
_atom_site_label
_atom_site_fract_x
_atom_site_fract_y
_atom_site_fract_z
Na1 0.000 0.000 0.000
Sb1 0.500 0.500 0.000
Te1 0.000 0.500 0.500
Cl1 0.500 0.500 0.500
```


9.
VASP calculation (PBE) on an optimized crystal structure of NaSb2TeCl.

Properties
Offset from the most stable computed form   0.0 meV/atom
Formation energy without anion corrections   372 meV/atom

CIF file:
```
data_NaSb2TeCl
_cell_length_a 5.392
_cell_length_b 5.392
_cell_length_c 5.681
_cell_angle_alpha 90.00
_cell_angle_beta 90.00
_cell_angle_gamma 90.00
_space_group_name_H-M_alt 'P 4/m m m'
_space_group_IT_number 123
_space_group_name_Hall '-P 4 2'
loop_
_atom_site_label
_atom_site_fract_x
_atom_site_fract_y
_atom_site_fract_z
Na1 0.000 0.000 0.000
Sb1 0.000 0.500 0.500
Te1 0.500 0.500 0.000
Cl1 0.500 0.500 0.500
```


10.
VASP calculation (PBE) on an optimized crystal structure of NaSb2TeCl.

Properties
Offset from the most stable computed form   250.9 meV/atom
Formation energy without anion corrections   623 meV/atom

CIF file:
```
data_NaSb2TeCl
_cell_length_a 5.496
_cell_length_b 5.496
_cell_length_c 5.344
_cell_angle_alpha 90.00
_cell_angle_beta 90.00
_cell_angle_gamma 90.00
_space_group_name_H-M_alt 'P 4/m m m'
_space_group_IT_number 123
_space_group_name_Hall '-P 4 2'
loop_
_atom_site_label
_atom_site_fract_x
_atom_site_fract_y
_atom_site_fract_z
Na1 0.000 0.000 0.000
Sb1 0.000 0.500 0.000
Te1 0.000 0.000 0.500
Cl1 0.500 0.500 0.500
```


11.
VASP calculation (PBE) on an optimized crystal structure of NaSbTe2Cl.

Properties
Offset from the most stable computed form   244.2 meV/atom
Formation energy without anion corrections   555 meV/atom

CIF file:
```
data_NaSbTe2Cl
_cell_length_a 5.382
_cell_length_b 5.382
_cell_length_c 5.641
_cell_angle_alpha 90.00
_cell_angle_beta 90.00
_cell_angle_gamma 90.00
_space_group_name_H-M_alt 'P 4/m m m'
_space_group_IT_number 123
_space_group_name_Hall '-P 4 2'
loop_
_atom_site_label
_atom_site_fract_x
_atom_site_fract_y
_atom_site_fract_z
Na1 0.000 0.000 0.000
Sb1 0.000 0.000 0.500
Te1 0.000 0.500 0.000
Cl1 0.500 0.500 0.500
```


12.
VASP calculation (PBE) on an optimized crystal structure of NaTlSbCl6.

Properties
Formation energy without anion corrections   -1043 meV/atom

CIF file:
```
data_NaTlSbCl6
_cell_length_a 7.0574
_cell_length_b 7.0574
_cell_length_c 6.8069
_cell_angle_alpha 90.00
_cell_angle_beta 90.00
_cell_angle_gamma 120.00
_space_group_name_H-M_alt 'P 3 1 2'
_space_group_IT_number 149
_space_group_name_Hall 'P 3 2'
loop_
_atom_site_label
_atom_site_fract_x
_atom_site_fract_y
_atom_site_fract_z
Na1 0.0000 0.0000 0.0000
Tl1 0.6667 0.3333 0.5000
Sb1 0.3333 0.6667 0.0000
Cl1 0.0446 0.3651 0.2164
```